# 1
## LiRe (GGA-PBEsol)

Data for an optimized crystal structure of LiRe.

For the energy relative to the lowest polymorph listed for this composition, the calculation gives 5.98 eV/f.u. As for the volume: 126.0 Å³/cell. As for the total energy: -4.32 eV/atom.

It has space group F-43m (No. 216), with a = 5.0132 Å, b = 5.0132 Å, c = 5.0132 Å, α = 90.00°, β = 90.00° and γ = 90.00°. Symmetry generates all atoms from Li at (0.0000, 0.0000, 0.0000) and Re at (0.2500, 0.2500, 0.2500).



# 2
## LiRe5 (GGA-PBEsol)

Data for an optimized crystal structure of LiRe5.

As for the volume: 168.7 Å³/cell. As for the total energy: -11.33 eV/atom.

It has space group Cmmm (No. 65), with a = 4.2745 Å, b = 9.2037 Å, c = 4.2870 Å, α = 90.00°, β = 90.00° and γ = 90.00°. Symmetry generates all atoms from Li at (0.0000, 0.0000, 0.0000), Re at (0.0000, 0.1624, 0.5000), Re at (0.0000, 0.3317, 0.0000) and Re at (0.0000, 0.5000, 0.5000).



# 3
## Li3Re (GGA-PBEsol)

Data for an optimized crystal structure of Li3Re.

For the energy relative to the lowest polymorph listed for this composition, the calculation gives 0.00 eV/f.u. As for the volume: 115.1 Å³/cell. As for the total energy: -4.42 eV/atom.

It has space group Imm2 (No. 44), with a = 2.4304 Å, b = 9.2460 Å, c = 5.1200 Å, α = 90.00°, β = 90.00° and γ = 90.00°. Symmetry generates all atoms from Li at (0.0000, 0.0000, 0.0000), Li at (0.0000, 0.2470, 0.7211) and Re at (0.0000, 0.5000, 0.0011).



# 4
## Li3Re (GGA-PBEsol)

Data for an optimized crystal structure of Li3Re.

For the energy relative to the lowest polymorph listed for this composition, the calculation gives 0.07 eV/f.u. As for the volume: 57.9 Å³/cell. As for the total energy: -4.41 eV/atom.

It has space group Pmm2 (No. 25), with a = 2.4264 Å, b = 4.6946 Å, c = 5.0787 Å, α = 90.00°, β = 90.00° and γ = 90.00°. Symmetry generates all atoms from Li at (0.0000, 0.0000, 0.0000), Li at (0.0000, 0.5000, 0.3112), Li at (0.5000, 0.0000, 0.5495) and Re at (0.5000, 0.5000, 0.8149).



# 5
## LiRe (GGA-PBEsol)

Data for an optimized crystal structure of LiRe.

For the energy relative to the lowest polymorph listed for this composition, the calculation gives 2.52 eV/f.u. As for the volume: 48.3 Å³/cell. As for the total energy: -6.05 eV/atom.

It has space group P6_3/mmc (No. 194), with a = 3.4606 Å, b = 3.4606 Å, c = 4.6613 Å, α = 90.00°, β = 90.00° and γ = 120.00°. Symmetry generates all atoms from Li at (0.0000, 0.0000, 0.0000) and Re at (0.3333, 0.6667, 0.2500).



# 6
## LiRe (GGA-PBEsol)

Data for an optimized crystal structure of LiRe.

For the energy relative to the lowest polymorph listed for this composition, the calculation gives 2.69 eV/f.u. As for the volume: 54.5 Å³/cell. As for the total energy: -5.97 eV/atom.

It has space group P6_3/mmc (No. 194), with a = 3.4903 Å, b = 3.4903 Å, c = 5.1624 Å, α = 90.00°, β = 90.00° and γ = 120.00°. Symmetry generates all atoms from Li at (0.3333, 0.6667, 0.2500) and Re at (0.0000, 0.0000, 0.0000).